This record from the Alexandria database describes CoMo2Pt at its PBEsol-relaxed geometry. The functional is SCAN.

Calculated values
* energy of formation from the pure elements: -0.12 eV/atom
* magnetic moment: 0.00 μB per formula unit
* distance to the lowest polymorph of the same formula: 50 meV per atom
* density of states at the Fermi level: 2.0 states/eV/cell

Cell lengths 2.672, 4.321, 4.769 Å; angles 90.00, 90.00, 90.00 degrees
Space group Pmm2 (No. 25)
Unique sites:
Co 0.000 0.000 0.000 (multiplicity 1)
Mo 0.500 0.000 0.512 (multiplicity 1)
Mo 0.500 0.500 0.847 (multiplicity 1)
Pt 0.000 0.500 0.332 (multiplicity 1)